Entry 1:
Crystalline Pu2NbO8 at its relaxed geometry. Source: Alexandria, functional PBE-GGA.

Computed properties:
* energy relative to the lowest polymorph listed for this composition: 231 meV per atom
* total magnetic moment: 5.0 μB/cell
* total DFT energy (no corrections): -9.270 eV per atom
* energy relative to the elements, uncorrected: -206.8 kJ per mole of atoms

```
Pu2NbO8
1.0
-1.369 -1.341 4.718
-2.786 -4.733 -3.356
6.354 0.622 0.818
Pu O Nb
2 8 1
Direct
0.000 0.338 0.662 Pu
0.000 0.662 0.338 Pu
0.134 0.406 0.103 O
0.866 0.897 0.594 O
0.259 0.656 0.656 O
0.134 0.103 0.406 O
0.866 0.594 0.897 O
0.500 0.834 0.166 O
0.500 0.166 0.834 O
0.741 0.344 0.344 O
0.500 0.000 0.000 Nb
```

Entry 2:
Crystalline PuNb4O8 at its relaxed geometry. Source: Alexandria, functional PBE-GGA.

Computed properties:
* total magnetic moment: 4.1 μB/cell
* total DFT energy (no corrections): -9.539 eV per atom
* energy relative to the elements, uncorrected: -220.7 kJ per mole of atoms

```
PuNb4O8
1.0
-0.633 -3.005 -5.199
-4.023 -0.763 4.437
-1.338 6.511 -0.094
O Nb Pu
8 4 1
Direct
0.011 0.253 0.770 O
0.517 0.759 0.770 O
0.989 0.747 0.230 O
0.011 0.759 0.770 O
0.469 0.734 0.203 O
0.483 0.241 0.230 O
0.989 0.241 0.230 O
0.531 0.266 0.797 O
0.500 0.000 0.000 Nb
0.000 0.000 0.000 Nb
0.500 0.500 0.000 Nb
0.000 0.500 0.000 Nb
0.000 0.500 0.500 Pu
```

Entry 3:
Crystalline Pu2NbO8 at its relaxed geometry. Source: Alexandria, functional PBE-GGA.

Computed properties:
* energy relative to the lowest polymorph listed for this composition: 0 meV per atom
* total magnetic moment: 5.0 μB/cell
* total DFT energy (no corrections): -9.501 eV per atom
* energy relative to the elements, uncorrected: -229.1 kJ per mole of atoms

```
Pu2NbO8
1.0
3.792 0.000 0.000
-1.896 5.568 -1.019
0.000 0.068 6.590
O Nb Pu
8 1 2
Direct
0.561 0.123 0.733 O
0.305 0.611 0.925 O
0.803 0.606 0.436 O
0.439 0.877 0.267 O
0.072 0.144 0.146 O
0.197 0.394 0.564 O
0.695 0.389 0.075 O
0.928 0.856 0.854 O
0.500 0.000 0.000 Nb
0.258 0.515 0.261 Pu
0.742 0.485 0.739 Pu
```

Entry 4:
Crystalline RbPu2NbO8 at its relaxed geometry. Source: Alexandria, functional PBE-GGA.

Computed properties:
* total magnetic moment: 6.0 μB/cell
* total DFT energy (no corrections): -9.044 eV per atom
* energy relative to the elements, uncorrected: -234.5 kJ per mole of atoms

```
RbPu2NbO8
1.0
-3.014 4.121 0.459
-4.216 -2.812 0.717
0.642 0.149 7.138
Nb O Pu Rb
1 8 2 1
Direct
0.000 0.000 0.000 Nb
0.209 0.804 0.808 O
0.194 0.789 0.192 O
0.791 0.196 0.192 O
0.295 0.293 0.986 O
0.347 0.343 0.462 O
0.806 0.211 0.808 O
0.653 0.657 0.538 O
0.705 0.707 0.014 O
0.518 0.517 0.242 Pu
0.482 0.483 0.758 Pu
0.000 0.000 0.500 Rb
```

Entry 5:
Crystalline RbPuNbO6 at its relaxed geometry. Source: Alexandria, functional PBE-GGA.

Computed properties:
* total magnetic moment: 2.0 μB/cell
* total DFT energy (no corrections): -8.582 eV per atom
* energy relative to the elements, uncorrected: -237.2 kJ per mole of atoms

```
RbPuNbO6
1.0
-1.343 -2.280 5.161
-2.592 -5.130 0.774
5.647 -2.620 0.473
O Rb Pu Nb
6 1 1 1
Direct
0.603 0.021 0.320 O
0.021 0.603 0.680 O
0.988 0.398 0.319 O
0.381 0.635 0.329 O
0.398 0.988 0.681 O
0.635 0.381 0.671 O
0.007 0.007 0.000 Rb
0.327 0.327 0.500 Pu
0.641 0.641 0.500 Nb
```

Entry 6:
Crystalline Rb4PuNb3O12 at its relaxed geometry. Source: Alexandria, functional PBE-GGA.

Computed properties:
* total magnetic moment: 3.0 μB/cell
* total DFT energy (no corrections): -7.764 eV per atom
* energy relative to the elements, uncorrected: -228.5 kJ per mole of atoms

```
Rb4PuNb3O12
1.0
7.195 0.000 0.000
-2.398 6.783 0.000
-2.398 -3.392 5.874
Rb O Nb Pu
4 12 3 1
Direct
0.500 0.000 0.000 Rb
0.000 0.000 0.500 Rb
0.500 0.500 0.500 Rb
0.000 0.500 0.000 Rb
0.258 0.258 0.000 O
0.000 0.742 0.742 O
0.250 0.750 0.500 O
0.250 0.500 0.750 O
0.000 0.258 0.258 O
0.742 0.742 0.000 O
0.750 0.250 0.500 O
0.258 0.000 0.258 O
0.500 0.750 0.250 O
0.500 0.250 0.750 O
0.750 0.500 0.250 O
0.742 0.000 0.742 O
0.000 0.500 0.500 Nb
0.500 0.500 0.000 Nb
0.500 0.000 0.500 Nb
0.000 0.000 0.000 Pu
```

Entry 7:
Crystalline PuNbRhO6 at its relaxed geometry. Source: Alexandria, functional PBE-GGA.

Computed properties:
* total magnetic moment: 8.0 μB/cell
* total DFT energy (no corrections): -8.843 eV per atom
* energy relative to the elements, uncorrected: -193.9 kJ per mole of atoms

```
PuNbRhO6
1.0
-1.439 2.623 4.549
-3.222 -3.888 -2.036
4.172 -5.943 4.747
O Rh Nb Pu
12 2 2 2
Direct
0.343 0.024 0.126 O
0.657 0.976 0.874 O
0.343 0.319 0.374 O
0.319 0.343 0.874 O
0.657 0.681 0.626 O
0.681 0.024 0.374 O
0.024 0.681 0.874 O
0.976 0.319 0.126 O
0.319 0.976 0.626 O
0.976 0.657 0.374 O
0.681 0.657 0.126 O
0.024 0.343 0.626 O
0.000 0.000 0.500 Rh
0.000 0.000 0.000 Rh
0.667 0.333 0.250 Nb
0.333 0.667 0.750 Nb
0.667 0.333 0.750 Pu
0.333 0.667 0.250 Pu
```

Entry 8:
Crystalline Sr2PuNbO6 at its relaxed geometry. Source: Alexandria, functional PBE-GGA.

Computed properties:
* total magnetic moment: 4.5 μB/cell
* total DFT energy (no corrections): -8.543 eV per atom
* energy relative to the elements, uncorrected: -269.3 kJ per mole of atoms

```
Sr2PuNbO6
1.0
4.227 0.000 0.000
0.000 4.227 0.000
0.000 0.000 8.544
Sr O Pu Nb
2 6 1 1
Direct
0.000 0.000 0.271 Sr
0.000 0.000 0.729 Sr
0.500 0.500 0.267 O
0.500 0.000 0.000 O
0.500 0.000 0.500 O
0.500 0.500 0.733 O
0.000 0.500 0.000 O
0.000 0.500 0.500 O
0.500 0.500 0.000 Pu
0.500 0.500 0.500 Nb
```

Entry 9:
Crystalline PuNbTlO6 at its relaxed geometry. Source: Alexandria, functional PBE-GGA.

Computed properties:
* total magnetic moment: 4.0 μB/cell
* total DFT energy (no corrections): -8.486 eV per atom
* energy relative to the elements, uncorrected: -212.9 kJ per mole of atoms

```
PuNbTlO6
1.0
-2.951 3.241 3.445
-2.620 -3.420 -3.537
0.144 -8.789 8.391
O Pu Nb Tl
12 2 2 2
Direct
0.612 0.994 0.840 O
0.006 0.619 0.840 O
0.006 0.388 0.660 O
0.994 0.612 0.340 O
0.388 0.006 0.160 O
0.619 0.006 0.340 O
0.619 0.612 0.160 O
0.388 0.381 0.340 O
0.612 0.619 0.660 O
0.994 0.381 0.160 O
0.381 0.388 0.840 O
0.381 0.994 0.660 O
0.667 0.333 0.750 Pu
0.333 0.667 0.250 Pu
0.333 0.667 0.750 Nb
0.667 0.333 0.250 Nb
0.000 0.000 0.500 Tl
0.000 0.000 0.000 Tl
```